[1]
First-principles (PBE) data for an optimized crystal structure of BeAlCo2, as listed in Alexandria.

Lattice parameters (Å, degrees): 2.809 2.809 5.463 90.00 90.00 90.00
Atoms (fractional coordinates):
Be  0.500  0.500  0.787
Co  0.000  0.000  0.971
Co  0.500  0.500  0.240
Al  0.000  0.000  0.502

Calculated values
The calculation puts the total energy at -0.20705 hartree per atom. The calculation puts the formation energy at -0.214 eV/atom. As for the total moment: 0.5519 μB per atom.

=====

[2]
First-principles (PBE) data for an optimized crystal structure of TaCrSe2Br, as listed in Alexandria.

Lattice parameters (Å, degrees): 4.885 4.885 4.801 90.00 90.00 90.00
Atoms (fractional coordinates):
Cr  0.000  0.000  0.000
Se  0.000  0.500  0.000
Se  0.500  0.000  0.000
Br  0.000  0.000  0.500
Ta  0.500  0.500  0.500

Calculated values
The calculation puts the total energy at -0.19699 hartree per atom. The formation energy (no corrections) is 663 meV per atom. As for the total moment: 1.1936 μB per atom.

=====

[3]
First-principles (PBE) data for an optimized crystal structure of BaWBr2, as listed in Alexandria.

Lattice parameters (Å, degrees): 10.290 10.290 10.290 19.41 19.41 19.41
Atoms (fractional coordinates):
Br  0.918  0.918  0.918
Br  0.082  0.082  0.082
Ba  0.500  0.500  0.500
W  0.000  0.000  0.000

Calculated values
The calculation puts the total energy at -0.15635 hartree per atom. The formation energy (no corrections) is 301 meV per atom. As for the total moment: 0.0000 μB per atom.

=====

[4]
First-principles (PBE) data for an optimized crystal structure of AsIr2Au, as listed in Alexandria.

Lattice parameters (Å, degrees): 2.803 2.803 10.056 90.00 90.00 121.07
Atoms (fractional coordinates):
As  0.000  0.000  0.467
Ir  0.000  0.000  0.019
Ir  0.500  0.500  0.245
Au  0.500  0.500  0.768

Calculated values
The calculation puts the total energy at -0.22324 hartree per atom. The calculation puts the formation energy at 0.337 eV/atom. As for the total moment: 0.0000 μB per atom.